The following is a DFT calculation (GGA+U) of a relaxed structure of HoMg2MoO6.

Lattice parameters (Å, degrees): 5.3105 5.3426 5.6957 62.12 62.96 60.84
Element x y z (fractional)
Ho 0.0000 0.0000 0.0000
Mg 0.2124 0.2066 0.3578
Mg 0.7104 0.7240 0.8479
Mo 0.5048 0.5189 0.4644
O 0.1174 0.7926 0.6552
O 0.3241 0.5839 0.1845
O 0.4047 0.1320 0.6628
O 0.5774 0.9079 0.1755
O 0.7623 0.4285 0.6619
O 0.8949 0.3303 0.1797

Results
The density is 5647 kg/m³. The calculation puts the electronic total energy at -7.01 eV/atom.